Entry 1:
Pr12Nd7Er | PBE | optimized geometry

Calculated values
Density of states at the Fermi level = 1.250 states/eV/atom
Energy above the most stable polymorph in this dataset = 0 meV per atom
Energy of formation = 4.16 eV per formula unit
SG = R-3m

a = 11.6557 Å, b = 11.6557 Å, c = 11.6557 Å
α = 116.73°, β = 116.73°, γ = 116.73°
With the nearest neighbours (Å) after each atom.
Atoms (fractional coordinates):
Pr 0.0000 0.4107 0.5893  2 Nd 3.39, 3 Pr 3.41-3.55
Pr 0.0000 0.5893 0.4107  2 Nd 3.39, 3 Pr 3.41-3.55
Pr 0.0813 0.0813 0.4364  1 Pr 3.35, 4 Nd 3.38-3.67
Pr 0.0813 0.4364 0.0813  1 Pr 3.35, 4 Nd 3.38-3.67
Pr 0.4107 0.0000 0.5893  2 Nd 3.39, 3 Pr 3.41-3.55
Pr 0.4107 0.5893 0.0000  2 Nd 3.39, 3 Pr 3.41-3.55
Pr 0.4364 0.0813 0.0813  1 Pr 3.35, 4 Nd 3.38-3.67
Pr 0.5636 0.9187 0.9187  1 Pr 3.35, 4 Nd 3.38-3.67
Pr 0.5893 0.0000 0.4107  2 Nd 3.39, 3 Pr 3.41-3.55
Pr 0.5893 0.4107 0.0000  2 Nd 3.39, 3 Pr 3.41-3.55
Pr 0.9187 0.5636 0.9187  1 Pr 3.35, 4 Nd 3.38-3.67
Pr 0.9187 0.9187 0.5636  1 Pr 3.35, 4 Nd 3.38-3.67
Nd 0.0000 0.0000 0.0000  2 Er 3.20, 6 Nd 3.42
Nd 0.1277 0.3769 0.3769  1 Er 3.15, 4 Pr 3.38-3.46, 1 Nd 3.42
Nd 0.3769 0.1277 0.3769  1 Er 3.15, 4 Pr 3.38-3.46, 1 Nd 3.42
Nd 0.3769 0.3769 0.1277  1 Er 3.15, 4 Pr 3.38-3.46, 1 Nd 3.42
Nd 0.6231 0.6231 0.8723  1 Er 3.15, 4 Pr 3.38-3.46, 1 Nd 3.42
Nd 0.6231 0.8723 0.6231  1 Er 3.15, 4 Pr 3.38-3.46, 1 Nd 3.42
Nd 0.8723 0.6231 0.6231  1 Er 3.15, 4 Pr 3.38-3.46, 1 Nd 3.42
Er 0.5000 0.5000 0.5000  8 Nd 3.15-3.20

=====

Entry 2:
Pr4Nd2Er5 | PBE | optimized geometry

Calculated values
Density of states at the Fermi level = 1.439 states/eV/atom
Energy above the most stable polymorph in this dataset = 209 meV per atom
Energy of formation = 2.94 eV per formula unit
SG = Immm

a = 12.6046 Å, b = 12.6046 Å, c = 12.6046 Å
α = 163.86°, β = 136.81°, γ = 46.40°
With the nearest neighbours (Å) after each atom.
Atoms (fractional coordinates):
Pr 0.0960 0.0960 0.0000  1 Nd 3.13, 4 Pr 3.43
Pr 0.2073 0.5000 0.7073  4 Er 3.24-3.46, 6 Pr 3.43-3.54
Pr 0.7927 0.5000 0.2927  4 Er 3.24-3.46, 6 Pr 3.43-3.54
Pr 0.9040 0.9040 0.0000  1 Nd 3.13, 4 Pr 3.43
Nd 0.2311 0.2311 0.0000  1 Pr 3.13, 2 Er 3.41
Nd 0.7689 0.7689 0.0000  1 Pr 3.13, 2 Er 3.41
Er 0.1624 0.3560 0.8065  1 Nd 3.41, 3 Pr 3.46-3.53, 3 Er 3.54-3.59
Er 0.4505 0.6440 0.8065  1 Nd 3.41, 3 Pr 3.46-3.53, 3 Er 3.54-3.59
Er 0.5000 0.0000 0.5000  4 Pr 3.24, 2 Er 3.54
Er 0.5495 0.3560 0.1935  1 Nd 3.41, 3 Pr 3.46-3.53, 3 Er 3.54-3.59
Er 0.8376 0.6440 0.1935  1 Nd 3.41, 3 Pr 3.46-3.53, 3 Er 3.54-3.59

=====

Entry 3:
PrNdEr6 | PBE | optimized geometry

Calculated values
Density of states at the Fermi level = 2.034 states/eV/atom
Energy above the most stable polymorph in this dataset = 0 meV per atom
Energy of formation = 1.99 eV per formula unit
SG = R-3m

a = 7.0428 Å, b = 7.0428 Å, c = 7.0428 Å
α = 110.44°, β = 110.44°, γ = 110.44°
With the nearest neighbours (Å) after each atom.
Atoms (fractional coordinates):
Pr 0.0000 0.0000 0.0000  2 Nd 3.35, 6 Er 3.39
Nd 0.5000 0.5000 0.5000  2 Pr 3.35, 6 Er 3.38
Er 0.2502 0.2502 0.7492  6 Er 3.35-3.53, 1 Nd 3.38, 1 Pr 3.39
Er 0.2502 0.7492 0.2502  6 Er 3.35-3.53, 1 Nd 3.38, 1 Pr 3.39
Er 0.2508 0.7498 0.7498  6 Er 3.35-3.53, 1 Nd 3.38, 1 Pr 3.39
Er 0.7492 0.2502 0.2502  6 Er 3.35-3.53, 1 Nd 3.38, 1 Pr 3.39
Er 0.7498 0.2508 0.7498  6 Er 3.35-3.53, 1 Nd 3.38, 1 Pr 3.39
Er 0.7498 0.7498 0.2508  6 Er 3.35-3.53, 1 Nd 3.38, 1 Pr 3.39

=====

Entry 4:
Pr6NdEr6 | PBE | optimized geometry

Calculated values
Density of states at the Fermi level = 2.125 states/eV/atom
Energy of formation = 3.17 eV per formula unit
SG = P6/mmm

a = 6.7514 Å, b = 6.7514 Å, c = 11.5032 Å
α = 90.00°, β = 90.00°, γ = 120.00°
With the nearest neighbours (Å) after each atom.
Atoms (fractional coordinates):
Pr 0.0000 0.0000 0.1542  1 Pr 3.55, 6 Er 3.56
Pr 0.0000 0.0000 0.8458  1 Pr 3.55, 6 Er 3.56
Pr 0.3333 0.6667 0.0000  6 Er 3.50, 3 Pr 3.90
Pr 0.3333 0.6667 0.5000  6 Er 3.45
Pr 0.6667 0.3333 0.0000  6 Er 3.50, 3 Pr 3.90
Pr 0.6667 0.3333 0.5000  6 Er 3.45
Nd 0.0000 0.0000 0.5000  8 Pr 3.90-3.98
Er 0.0000 0.5000 0.2526  4 Er 3.38, 6 Pr 3.45-3.56
Er 0.0000 0.5000 0.7474  4 Er 3.38, 6 Pr 3.45-3.56
Er 0.5000 0.0000 0.2526  4 Er 3.38, 6 Pr 3.45-3.56
Er 0.5000 0.0000 0.7474  4 Er 3.38, 6 Pr 3.45-3.56
Er 0.5000 0.5000 0.2526  4 Er 3.38, 6 Pr 3.45-3.56
Er 0.5000 0.5000 0.7474  4 Er 3.38, 6 Pr 3.45-3.56

=====

Entry 5:
PrNd4Er | PBE | optimized geometry

Calculated values
Density of states at the Fermi level = 1.909 states/eV/atom
Energy above the most stable polymorph in this dataset = 69 meV per atom
Energy of formation = 1.06 eV per formula unit
SG = C2/m

a = 11.9140 Å, b = 3.4972 Å, c = 11.7141 Å
α = 90.00°, β = 119.60°, γ = 90.00°
With the nearest neighbours (Å) after each atom.
Atoms (fractional coordinates):
Pr 0.0000 0.0000 0.0000  2 Pr 3.50, 8 Nd 3.54-3.69
Pr 0.5000 0.5000 0.0000  2 Pr 3.50, 8 Nd 3.54-3.69
Nd 0.1868 0.0000 0.8412  1 Er 3.48, 6 Nd 3.50-3.69, 3 Pr 3.54-3.69
Nd 0.1913 0.0000 0.3471  6 Nd 3.50-3.63, 3 Er 3.53-3.64, 1 Pr 3.55
Nd 0.3087 0.5000 0.6529  6 Nd 3.50-3.63, 3 Er 3.53-3.64, 1 Pr 3.55
Nd 0.3132 0.5000 0.1588  1 Er 3.48, 6 Nd 3.50-3.69, 3 Pr 3.54-3.69
Nd 0.6868 0.5000 0.8412  1 Er 3.48, 6 Nd 3.50-3.69, 3 Pr 3.54-3.69
Nd 0.6913 0.5000 0.3471  6 Nd 3.50-3.63, 3 Er 3.53-3.64, 1 Pr 3.55
Nd 0.8087 0.0000 0.6529  6 Nd 3.50-3.63, 3 Er 3.53-3.64, 1 Pr 3.55
Nd 0.8132 0.0000 0.1588  1 Er 3.48, 6 Nd 3.50-3.69, 3 Pr 3.54-3.69
Er 0.0000 0.0000 0.5000  8 Nd 3.48-3.64, 2 Er 3.50
Er 0.5000 0.5000 0.5000  8 Nd 3.48-3.64, 2 Er 3.50

=====

Entry 6:
Pr4NdEr6 | PBE | optimized geometry

Calculated values
Density of states at the Fermi level = 1.389 states/eV/atom
Energy above the most stable polymorph in this dataset = 0 meV per atom
Energy of formation = 1.68 eV per formula unit
SG = P-6m2

a = 11.0462 Å, b = 11.0462 Å, c = 3.5408 Å
α = 90.00°, β = 90.00°, γ = 120.00°
With the nearest neighbours (Å) after each atom.
Atoms (fractional coordinates):
Pr 0.0000 0.0000 0.0000  3 Er 3.10
Pr 0.0630 0.5315 0.5000  6 Er 3.47-3.56, 2 Pr 3.54
Pr 0.4685 0.5315 0.5000  6 Er 3.47-3.56, 2 Pr 3.54
Pr 0.4685 0.9370 0.5000  6 Er 3.47-3.56, 2 Pr 3.54
Nd 0.6667 0.3333 0.0000  2 Nd 3.54, 6 Er 3.71
Er 0.1622 0.3244 0.0000  5 Pr 3.10-3.47
Er 0.1622 0.8378 0.0000  5 Pr 3.10-3.47
Er 0.3260 0.1630 0.5000  6 Er 3.54-3.58, 4 Pr 3.56-3.59, 2 Nd 3.71
Er 0.6756 0.8378 0.0000  5 Pr 3.10-3.47
Er 0.8370 0.1630 0.5000  6 Er 3.54-3.58, 4 Pr 3.56-3.59, 2 Nd 3.71
Er 0.8370 0.6740 0.5000  6 Er 3.54-3.58, 4 Pr 3.56-3.59, 2 Nd 3.71

=====

Entry 7:
PrNd2Er | PBE | optimized geometry

Calculated values
Density of states at the Fermi level = 1.479 states/eV/atom
Energy above the most stable polymorph in this dataset = 6 meV per atom
Energy of formation = 0.08 eV per formula unit
SG = R3m

a = 3.6518 Å, b = 3.6518 Å, c = 35.6599 Å
α = 90.00°, β = 90.00°, γ = 120.00°
With the nearest neighbours (Å) after each atom.
Atoms (fractional coordinates):
Pr 0.0000 0.0000 0.0000  6 Pr 3.65, 6 Nd 3.70-3.72
Pr 0.3333 0.6667 0.6667  6 Pr 3.65, 6 Nd 3.70-3.72
Pr 0.6667 0.3333 0.3333  6 Pr 3.65, 6 Nd 3.70-3.72
Nd 0.0000 0.0000 0.5814  3 Er 3.57, 6 Nd 3.65, 3 Pr 3.70
Nd 0.0000 0.0000 0.7526  3 Er 3.58, 6 Nd 3.65, 3 Pr 3.72
Nd 0.3333 0.6667 0.2481  3 Er 3.57, 6 Nd 3.65, 3 Pr 3.70
Nd 0.3333 0.6667 0.4193  3 Er 3.58, 6 Nd 3.65, 3 Pr 3.72
Nd 0.6667 0.3333 0.0859  3 Er 3.58, 6 Nd 3.65, 3 Pr 3.72
Nd 0.6667 0.3333 0.9148  3 Er 3.57, 6 Nd 3.65, 3 Pr 3.70
Er 0.0000 0.0000 0.1671  6 Nd 3.57-3.58, 6 Er 3.65
Er 0.3333 0.6667 0.8338  6 Nd 3.57-3.58, 6 Er 3.65
Er 0.6667 0.3333 0.5005  6 Nd 3.57-3.58, 6 Er 3.65

=====

Entry 8:
Pr2NdEr7 | PBE | optimized geometry

Calculated values
Density of states at the Fermi level = 1.701 states/eV/atom
Energy above the most stable polymorph in this dataset = 143 meV per atom
Energy of formation = 1.65 eV per formula unit
SG = Cmmm

a = 14.7965 Å, b = 14.7965 Å, c = 3.5157 Å
α = 90.00°, β = 90.00°, γ = 154.61°
With the nearest neighbours (Å) after each atom.
Atoms (fractional coordinates):
Pr 0.2078 0.7922 0.0000  2 Pr 3.52, 8 Er 3.56-3.76
Pr 0.7922 0.2078 0.0000  2 Pr 3.52, 8 Er 3.56-3.76
Nd 0.5000 0.5000 0.5000  2 Nd 3.52, 12 Er 3.70-3.71
Er 0.0000 0.0000 0.0000  6 Er 3.29-3.52
Er 0.1545 0.3516 0.0000  7 Er 3.21-3.52, 1 Pr 3.56
Er 0.3156 0.6844 0.5000  6 Er 3.44-3.52, 6 Pr 3.58-3.76
Er 0.3516 0.1545 0.0000  7 Er 3.21-3.52, 1 Pr 3.56
Er 0.6484 0.8455 0.0000  7 Er 3.21-3.52, 1 Pr 3.56
Er 0.6844 0.3156 0.5000  6 Er 3.44-3.52, 6 Pr 3.58-3.76
Er 0.8455 0.6484 0.0000  7 Er 3.21-3.52, 1 Pr 3.56

=====

Which total magnetic moment belongs to each record? In order, 0.000, 0.000, 0.132, 0.010, 0.000, 0.000, 0.000, 0.000 μB/atom.